1.
Entry from Alexandria: a relaxed LiCaP4 crystal (PBE).

Structure (POSCAR):
```
LiCaP4
1.0
0.0000 3.7415 3.7415
3.7415 0.0000 3.7415
3.7415 3.7415 0.0000
Li Ca P
1 1 4
direct
0.0000 0.0000 0.0000
0.7500 0.7500 0.7500
0.3694 0.8918 0.3694
0.8918 0.3694 0.3694
0.3694 0.3694 0.8918
0.3694 0.3694 0.3694
```

ΔE_f	-0.14	eV per atom
theoretical density	2.7	g/cm³
symmetry	No. 216
M_tot	0.0	μB per formula unit

---

2.
Entry from Alexandria: a relaxed LiCa3P crystal (PBE).

Structure (POSCAR):
```
LiCa3P
1.0
-10.7740 -16.9274 3.5491
0.1879 -9.4432 4.1911
5.0862 7.8760 4.3445
P Ca Li
4 12 4
direct
0.2560 0.3312 0.3975
0.2440 0.8975 0.8312
0.7440 0.6688 0.6025
0.7560 0.1025 0.1688
0.5672 0.1437 0.6725
0.9328 0.1725 0.6437
0.4328 0.8563 0.3275
0.0672 0.8275 0.3563
0.9546 0.4642 0.0756
0.5454 0.5756 0.9642
0.0454 0.5358 0.9244
0.4546 0.4244 0.0358
0.4713 0.9890 0.7805
0.0287 0.2805 0.4890
0.5287 0.0110 0.2195
0.9713 0.7195 0.5110
0.7500 0.1275 0.6275
0.2500 0.8725 0.3725
0.7500 0.3864 0.8864
0.2500 0.6136 0.1136
```

ΔE_f	-0.47	eV per atom
theoretical density	1.7	g/cm³
symmetry	No. 15
M_tot	0.0	μB per formula unit